# 1
Compound: Cu8GeAu2
Source: Alexandria
Functional: PBE
Structure: optimized geometry

a b c (Å): 13.091 5.303 4.586
angles (deg): 90.00 101.75 90.00
Space group C2/m (No. 12)
Inequivalent atoms, fractional coordinates:
Cu (0.000, 0.243, 0.000) (multiplicity 4)
Cu (0.163, 0.246, 0.780) (multiplicity 8)
Cu (0.166, 0.000, 0.274) (multiplicity 4)
Ge (0.000, 0.000, 0.500) (multiplicity 2)
Au (0.162, 0.500, 0.283) (multiplicity 4)

Values from the calculation:
Excess energy over the best structure of this formula in the dataset (meV/atom): 0
Formation energy (eV/atom): 0.040

***

# 2
Compound: Cu2Ge2Au
Source: Alexandria
Functional: PBE
Structure: optimized geometry

a b c (Å): 7.451 7.451 2.903
angles (deg): 90.00 90.00 90.00
Space group P4/mbm (No. 127)
Inequivalent atoms, fractional coordinates:
Cu (0.121, 0.379, 0.000) (multiplicity 4)
Ge (0.177, 0.677, 0.500) (multiplicity 4)
Au (0.000, 0.000, 0.500) (multiplicity 2)

Values from the calculation:
Excess energy over the best structure of this formula in the dataset (meV/atom): 32
Formation energy (eV/atom): 0.157

***

Question: Which formula does entry 1 have?
Answer: Cu8GeAu2

***

Question: Which of these has the lowest formation energy?
Answer: Cu8GeAu2

***

Question: Number 1 is which compound?
Answer: Cu8GeAu2

***

Question: Which of these has the highest formation energy?
Answer: Cu2Ge2Au